The following is a DFT calculation (PBE) of a geometry-optimized UMoOs structure.

## Properties
Its density of states at the Fermi level is 4.36 states/eV/cell. The offset from the most stable computed form comes out at 0 meV per atom. Its energy relative to the elements is 54 kJ/mol of formula units. The value obtained for the magnetic moment is 0.0 Bohr magnetons per cell.

Cell and atoms, written as CIF:
```
data_UMoOs
_cell_length_a 4.5619
_cell_length_b 4.5619
_cell_length_c 2.8306
_cell_angle_alpha 90.00
_cell_angle_beta 90.00
_cell_angle_gamma 120.00
_symmetry_space_group_name_H-M 'P 3 m 1'
_symmetry_Int_Tables_number 156
loop_
_symmetry_equiv_pos_as_xyz
'x,y,z'
'-y,x-y,z'
'-x+y,-x,z'
'-y,-x,z'
'-x+y,y,z'
'x,x-y,z'
loop_
_atom_site_label
_atom_site_fract_x
_atom_site_fract_y
_atom_site_fract_z
U1 0.0000 0.0000 0.0000
Mo1 0.6667 0.3333 0.7616
Os1 0.3333 0.6667 0.2920
```

***

The following is a DFT calculation (PBE) of a geometry-optimized Tb3Ho3Tm2 structure.

## Properties
Its density of states at the Fermi level is 21.87 states/eV/cell. The offset from the most stable computed form comes out at 0 meV per atom. Its energy relative to the elements is 16 kJ/mol of formula units. The value obtained for the magnetic moment is 0.0 Bohr magnetons per cell.

Cell and atoms, written as CIF:
```
data_Tb3Ho3Tm2
_cell_length_a 4.9804
_cell_length_b 4.9806
_cell_length_c 19.9145
_cell_angle_alpha 90.00
_cell_angle_beta 90.00
_cell_angle_gamma 90.00
_symmetry_space_group_name_H-M 'I m m m'
_symmetry_Int_Tables_number 71
_symmetry_space_group_name_Hall '-I 2 2'
loop_
_atom_site_label
_atom_site_fract_x
_atom_site_fract_y
_atom_site_fract_z
Tb1 0.0000 0.0000 0.0000
Tb2 0.0000 0.5000 0.1257
Ho1 0.0000 0.0000 0.5000
Ho2 0.0000 0.5000 0.3740
Tm1 0.0000 0.0000 0.2498
```

***

What is the energy relative to the elements in the first record?
54 kJ/mol of formula units

***

Number 2 is which compound?
Tb3Ho3Tm2